1.
This record from OQMD describes crystalline TbPrSO2 at its relaxed geometry. The functional is PBE.

Lattice parameters (Å, degrees): 3.913 3.913 6.737 90.00 90.00 120.00
Atoms (fractional coordinates):
1 O 0.000 0.000 0.637
2 Tb 0.667 0.333 0.717
3 O 0.667 0.333 0.378
4 Pr 0.000 0.000 0.277
5 S 0.333 0.667 0.991

Calculated values
- Size of the total moment: 0.0 μB per formula unit
- Final energy: -0.5730 Ry/atom

=====

2.
This record from OQMD describes crystalline PrTmSO2 at its relaxed geometry. The functional is PBE.

Lattice parameters (Å, degrees): 3.867 3.867 6.668 90.00 90.00 120.00
Atoms (fractional coordinates):
1 O 0.000 0.000 0.360
2 Tm 0.333 0.667 0.286
3 S 0.667 0.333 0.013
4 Pr 0.000 0.000 0.724
5 O 0.333 0.667 0.618

Calculated values
- Size of the total moment: 0.0 μB per formula unit
- Final energy: -0.5708 Ry/atom

=====

3.
This record from OQMD describes crystalline PrZrS2O at its relaxed geometry. The functional is PBE.

Lattice parameters (Å, degrees): 6.322 6.322 8.407 90.65 90.65 34.37
Last column: magnetic moment on the atom in μB.
Atoms (fractional coordinates):
1 O 0.834 0.834 0.568  0.00
2 S 0.855 0.855 0.949  0.00
3 S 0.145 0.145 0.051  0.00
4 S 0.438 0.438 0.294  0.00
5 O 0.166 0.166 0.432  0.00
6 Zr 0.000 0.000 0.500  0.04
7 Pr 0.256 0.256 0.715  0.01
8 Zr 0.500 0.500 0.000  0.28
9 Pr 0.744 0.744 0.285  0.01
10 S 0.562 0.562 0.706  0.00

Calculated values
- Size of the total moment: 0.3 μB per formula unit
- Final energy: -0.5570 Ry/atom

=====

4.
This record from OQMD describes crystalline Pr4Sb3O4 at its relaxed geometry. The functional is PBE.

Lattice parameters (Å, degrees): 8.507 7.484 7.484 31.60 90.00 90.00
Atoms (fractional coordinates):
1 Sb 0.500 0.692 0.692
2 Pr 0.000 0.975 0.975
3 O 0.256 0.908 0.908
4 Sb 0.819 0.634 0.634
5 Pr 0.261 0.327 0.327
6 Pr 0.739 0.327 0.327
7 O 0.500 0.415 0.415
8 O 0.744 0.908 0.908
9 Sb 0.181 0.634 0.634
10 Pr 0.500 0.993 0.993
11 O 0.000 0.387 0.387

Calculated values
- Size of the total moment: 0.0 μB per formula unit
- Final energy: -0.5141 Ry/atom

=====

5.
This record from OQMD describes crystalline PrSbO4 at its relaxed geometry. The functional is PBE.

Lattice parameters (Å, degrees): 7.664 5.549 7.700 90.00 100.56 90.00
Atoms (fractional coordinates):
1 O 0.832 0.506 0.370
2 O 0.335 0.140 0.445
3 O 0.832 0.994 0.870
4 Sb 0.336 0.269 0.199
5 O 0.438 0.909 0.799
6 O 0.168 0.006 0.130
7 O 0.119 0.479 0.173
8 O 0.665 0.860 0.555
9 Sb 0.664 0.731 0.801
10 O 0.335 0.360 0.945
11 Pr 0.849 0.228 0.599
12 Pr 0.151 0.728 0.901
13 Pr 0.151 0.772 0.401
14 O 0.562 0.091 0.201
15 O 0.665 0.640 0.055
16 O 0.119 0.021 0.673
17 Sb 0.336 0.231 0.699
18 O 0.881 0.521 0.827
19 Sb 0.664 0.769 0.301
20 O 0.438 0.591 0.299
21 O 0.881 0.979 0.327
22 Pr 0.849 0.272 0.099
23 O 0.168 0.494 0.630
24 O 0.562 0.409 0.701

Calculated values
- Size of the total moment: 0.0 μB per formula unit
- Final energy: -0.5218 Ry/atom

=====

6.
This record from OQMD describes crystalline Pr2Sb2O5 at its relaxed geometry. The functional is PBE.

Lattice parameters (Å, degrees): 7.468 4.254 4.254 90.00 90.00 90.00
Atoms (fractional coordinates):
1 Pr 0.500 0.000 0.000
2 O 0.725 0.500 0.000
3 Sb 0.778 0.500 0.500
4 O 0.500 0.500 0.500
5 Pr 0.000 0.000 0.000
6 O 0.725 0.000 0.500
7 O 0.275 0.000 0.500
8 O 0.275 0.500 0.000
9 Sb 0.222 0.500 0.500

Calculated values
- Size of the total moment: 0.1 μB per formula unit
- Final energy: -0.4731 Ry/atom

=====

Q: Look up the final energy of the fifth one.
A: -0.5218 Ry/atom

=====

Q: Which formula does entry 1 have?
A: TbPrSO2